{
  "formula": "SiTePb2",
  "functional": "GGA-PBE",
  "state": "relaxed",
  "lattice": [[9.228, -0.086, -0.051], [8.452, 3.704, -0.051], [8.452, 1.729, 3.276]],
  "species": ["Si", "Pb", "Te", "Pb"],
  "frac_coords": [[0.494, 0.494, 0.494], [0.238, 0.238, 0.238], [0.769, 0.769, 0.769], [0.999, 0.999, 0.999]],
  "formation_energy_uncorrected_mev_per_atom": 168.3
}

***

{
  "formula": "Mg3Sb",
  "functional": "GGA-PBE",
  "state": "relaxed",
  "lattice": [[9.918, -0.080, -0.047], [9.364, 3.268, -0.047], [9.364, 1.548, 2.879]],
  "species": ["Sb", "Mg", "Mg", "Mg"],
  "frac_coords": [[0.000, 0.000, 0.000], [0.500, 0.500, 0.500], [0.750, 0.750, 0.750], [0.250, 0.250, 0.250]],
  "formation_energy_uncorrected_mev_per_atom": -26.9
}

***

{
  "formula": "SrSmAg",
  "functional": "GGA-PBE",
  "state": "relaxed",
  "lattice": [[3.814, 0.000, 0.000], [0.000, 3.814, 0.000], [-1.907, -1.907, 6.839]],
  "species": ["Sr", "Sm", "Ag"],
  "frac_coords": [[0.023, 0.023, 0.046], [0.297, 0.297, 0.593], [0.681, 0.681, 0.361]],
  "ef_ev_per_fu": -0.3
}

***

{
  "formula": "MgCl2",
  "functional": "GGA-PBE",
  "state": "relaxed",
  "lattice": [[2.100, -3.638, 0.000], [2.100, 3.638, 0.000], [0.000, 0.000, 8.822]],
  "species": ["Mg", "Cl", "Cl", "Mg", "Cl", "Cl"],
  "frac_coords": [[0.667, 0.333, 0.250], [0.667, 0.333, 0.750], [0.333, 0.667, 0.250], [0.333, 0.667, 0.750], [0.000, 0.000, 0.000], [0.000, 0.000, 0.500]],
  "formation_energy_uncorrected_mev_per_atom": -1371.0
}

***

{
  "formula": "ScAl3Ru",
  "functional": "GGA-PBE",
  "state": "relaxed",
  "lattice": [[6.259, 0.000, 0.000], [0.000, 6.259, 0.000], [0.000, 0.000, 6.259]],
  "species": ["Sc", "Al", "Sc", "Al", "Ru", "Sc", "Ru", "Ru", "Al", "Al", "Al", "Al", "Al", "Al", "Al"],
  "frac_coords": [[0.000, 0.500, 0.500], [0.500, 0.500, 0.500], [0.500, 0.000, 0.500], [0.782, 0.218, 0.782], [0.000, 0.000, 0.500], [0.500, 0.500, 0.000], [0.000, 0.500, 0.000], [0.500, 0.000, 0.000], [0.218, 0.218, 0.218], [0.782, 0.782, 0.782], [0.218, 0.218, 0.782], [0.782, 0.782, 0.218], [0.218, 0.782, 0.218], [0.782, 0.218, 0.218], [0.218, 0.782, 0.782]],
  "ef_ev_per_fu": -3.2
}

***

{
  "formula": "Sm2PPt3",
  "functional": "GGA-PBE",
  "state": "relaxed",
  "lattice": [[5.540, 0.130, -1.727], [-1.291, 5.389, -1.727], [-0.094, -0.122, 8.440]],
  "species": ["Pt", "Pt", "P", "P", "Sm", "Sm", "Pt", "Pt", "Pt", "Pt", "Sm", "Sm"],
  "frac_coords": [[0.176, 0.648, 0.824], [0.824, 0.352, 0.176], [0.665, 0.665, 0.331], [0.335, 0.335, 0.669], [0.762, 0.762, 0.000], [0.750, 0.250, 0.500], [0.823, 0.823, 0.646], [0.648, 0.176, 0.824], [0.352, 0.824, 0.176], [0.177, 0.177, 0.354], [0.250, 0.750, 0.500], [0.238, 0.238, 0.000]],
  "ef_ev_per_fu": -7.0
}

***

{
  "formula": "LiHfB",
  "functional": "GGA-PBE",
  "state": "relaxed",
  "lattice": [[-1.863, 2.334, 0.764], [-0.141, -1.127, 3.100], [9.011, 2.152, 2.952]],
  "species": ["Li", "B", "Li", "Hf", "Hf", "B"],
  "frac_coords": [[0.352, 0.509, 0.095], [0.989, 0.690, 0.732], [0.038, 0.916, 0.281], [0.791, 0.290, 0.534], [0.599, 0.136, 0.842], [0.401, 0.735, 0.644]],
  "ef_ev_per_fu": -1.1
}

***

{
  "formula": "NaNiAu2",
  "functional": "GGA-PBE",
  "state": "relaxed",
  "lattice": [[5.249, 0.000, 0.000], [0.000, 5.249, 0.000], [2.625, 2.625, 8.388]],
  "species": ["Ni", "Au", "Au", "Na", "Na", "Au", "Ni", "Au"],
  "frac_coords": [[0.000, 0.000, 0.000], [0.876, 0.625, 0.250], [0.874, 0.125, 0.250], [0.500, 0.500, 0.000], [0.250, 0.750, 0.500], [0.875, 0.124, 0.750], [0.750, 0.250, 0.500], [0.375, 0.126, 0.750]],
  "ef_ev_per_fu": 1.2
}

***

| no. | N(E_F) (states/eV/atom) |
| --- | --- |
| 1 | 0.48 |
| 2 | 0.35 |
| 3 | 0.95 |
| 4 | 0.00 |
| 5 | 0.25 |
| 6 | 0.40 |
| 7 | 0.53 |
| 8 | 0.96 |